No. 1
Computed, not measured: Ce2BiSb3Rh4 after structural relaxation at the PBE-GGA level of DFT.

POSCAR file:
```
Ce2BiSb3Rh4
1.0
4.560 0.000 0.000
0.000 4.560 0.000
0.000 0.000 10.644
Ce Bi Sb Rh
2 1 3 4
Direct
0.000 0.500 0.236
0.500 0.000 0.764
0.000 0.000 0.500
0.000 0.500 0.871
0.500 0.000 0.129
0.500 0.500 0.500
0.000 0.000 0.000
0.000 0.500 0.632
0.500 0.000 0.368
0.500 0.500 0.000
```

final energy = -64.33 eV/cell
formation energy without anion corrections = -680.8 meV per atom

***

No. 2
Computed, not measured: TaTcHg2 after structural relaxation at the PBE-GGA level of DFT.

POSCAR file:
```
TaTcHg2
1.0
4.162 0.000 0.000
0.000 4.162 0.000
0.000 0.000 8.363
Ta Tc Hg
2 2 4
Direct
0.000 0.000 0.000
0.500 0.500 0.500
0.000 0.500 0.750
0.500 0.000 0.250
0.000 0.000 0.500
0.000 0.500 0.250
0.500 0.000 0.750
0.500 0.500 0.000
```

final energy = -41.75 eV/cell
energy relative to the elements = 486.7 meV/atom

***

No. 3
Computed, not measured: Ti2CrPd2 after structural relaxation at the PBE-GGA level of DFT.

POSCAR file:
```
Ti2CrPd2
1.0
7.197 0.000 0.000
0.000 7.197 0.000
0.000 0.000 3.031
Ti Cr Pd
4 2 4
Direct
0.165 0.335 0.000
0.335 0.835 0.000
0.665 0.165 0.000
0.835 0.665 0.000
0.000 0.000 0.000
0.500 0.500 0.000
0.138 0.638 0.500
0.362 0.138 0.500
0.638 0.862 0.500
0.862 0.362 0.500
```

final energy = -72.17 eV/cell
energy relative to the elements = -56.8 meV/atom

***

No. 4
Computed, not measured: Y4AlTe3 after structural relaxation at the PBE-GGA level of DFT.

POSCAR file:
```
Y4AlTe3
1.0
8.855 0.000 0.000
0.000 12.348 0.000
0.000 0.000 4.274
Y Al Te
8 2 6
Direct
0.000 0.237 0.000
0.000 0.763 0.000
0.234 0.000 0.500
0.266 0.500 0.500
0.500 0.263 0.000
0.500 0.737 0.000
0.734 0.500 0.500
0.766 0.000 0.500
0.000 0.000 0.000
0.500 0.500 0.000
0.000 0.500 0.000
0.250 0.250 0.500
0.250 0.750 0.500
0.500 0.000 0.000
0.750 0.250 0.500
0.750 0.750 0.500
```

final energy = -95.61 eV/cell
formation energy without anion corrections = -1097.4 meV per atom

***

No. 5
Computed, not measured: ScInFe2 after structural relaxation at the PBE-GGA level of DFT.

POSCAR file:
```
ScInFe2
1.0
4.324 0.000 0.000
0.000 4.324 0.000
0.000 0.000 3.404
Sc In Fe
1 1 2
Direct
0.000 0.000 0.000
0.500 0.500 0.000
0.000 0.500 0.500
0.500 0.000 0.500
```

final energy = -25.82 eV/cell
energy relative to the elements = 44.5 meV/atom

***

No. 6
Computed, not measured: Ba6Sn2Pb after structural relaxation at the PBE-GGA level of DFT.

POSCAR file:
```
Ba6Sn2Pb
1.0
7.757 0.000 0.000
0.000 9.750 0.000
-7.095 0.000 11.842
Ba Sn Pb
12 4 2
Direct
0.100 0.057 0.237
0.100 0.443 0.737
0.214 0.679 0.075
0.214 0.821 0.575
0.399 0.173 0.061
0.399 0.327 0.561
0.601 0.673 0.439
0.601 0.827 0.939
0.786 0.179 0.425
0.786 0.321 0.925
0.900 0.557 0.263
0.900 0.943 0.763
0.310 0.109 0.755
0.310 0.391 0.255
0.690 0.609 0.745
0.690 0.891 0.245
0.500 0.000 0.500
0.500 0.500 0.000
```

final energy = -53.63 eV/cell
energy relative to the elements = -396.0 meV/atom

***

No. 7
Computed, not measured: TcSbOs2 after structural relaxation at the PBE-GGA level of DFT.

POSCAR file:
```
TcSbOs2
1.0
4.646 0.000 0.000
0.000 4.646 0.000
0.000 0.000 2.976
Tc Sb Os
1 1 2
Direct
0.000 0.000 0.000
0.500 0.500 0.000
0.000 0.500 0.500
0.500 0.000 0.500
```

final energy = -34.24 eV/cell
formation energy without anion corrections = 676.1 meV per atom

***

No. 8
Computed, not measured: NaPr2P2N6 after structural relaxation at the PBE-GGA level of DFT.

POSCAR file:
```
NaPr2P2N6
1.0
5.812 0.000 0.000
-2.163 6.023 0.000
-2.835 -2.232 5.359
Na Pr P N
1 2 2 6
Direct
0.000 0.000 0.000
0.386 0.294 0.671
0.614 0.706 0.329
0.292 0.744 0.740
0.708 0.256 0.260
0.139 0.907 0.696
0.248 0.566 0.878
0.496 0.734 0.642
0.504 0.266 0.358
0.752 0.434 0.122
0.861 0.093 0.304
```

final energy = -79.07 eV/cell
formation energy without anion corrections = -674.3 meV per atom

***

No. 9
Computed, not measured: KNpBiO5 after structural relaxation at the PBE-GGA level of DFT.

POSCAR file:
```
KNpBiO5
1.0
3.719 -5.205 0.000
3.719 5.205 0.000
-2.562 0.000 7.657
K Np Bi O
2 2 2 10
Direct
0.175 0.825 0.750
0.825 0.175 0.250
0.500 0.500 0.000
0.500 0.500 0.500
0.184 0.816 0.250
0.816 0.184 0.750
0.167 0.304 0.952
0.208 0.572 0.398
0.304 0.167 0.452
0.428 0.792 0.102
0.436 0.564 0.750
0.564 0.436 0.250
0.572 0.208 0.898
0.696 0.833 0.548
0.792 0.428 0.602
0.833 0.696 0.048
```

final energy = -119.15 eV/cell
formation energy without anion corrections = -2108.1 meV per atom

***

No. 10
Computed, not measured: La3NdSm2Te6 after structural relaxation at the PBE-GGA level of DFT.

POSCAR file:
```
La3NdSm2Te6
1.0
9.837 -2.258 0.000
9.837 2.258 0.000
-2.046 0.000 8.830
La Nd Sm Te
3 1 2 6
Direct
0.000 0.000 0.000
0.335 0.335 0.667
0.665 0.665 0.333
0.000 0.000 0.500
0.334 0.334 0.167
0.666 0.666 0.833
0.166 0.166 0.589
0.169 0.169 0.078
0.498 0.498 0.252
0.502 0.502 0.748
0.831 0.831 0.922
0.834 0.834 0.411
```

final energy = -65.84 eV/cell
formation energy without anion corrections = -1500.0 meV per atom

***

No. 11
Computed, not measured: Zr2BrCl after structural relaxation at the PBE-GGA level of DFT.

POSCAR file:
```
Zr2BrCl
1.0
3.124 0.000 0.000
0.000 6.171 0.000
0.000 0.000 9.165
Zr Br Cl
4 2 2
Direct
0.000 0.000 0.243
0.000 0.000 0.757
0.500 0.500 0.243
0.500 0.500 0.757
0.000 0.500 0.500
0.500 0.000 0.500
0.000 0.500 0.000
0.500 0.000 0.000
```

final energy = -44.93 eV/cell
formation energy without anion corrections = -462.7 meV per atom

***

No. 12
Computed, not measured: TbPm2Br8 after structural relaxation at the PBE-GGA level of DFT.

POSCAR file:
```
TbPm2Br8
1.0
9.255 -3.844 0.000
9.255 3.844 0.000
-0.981 0.000 6.878
Tb Pm Br
1 2 8
Direct
0.000 0.000 0.000
0.147 0.147 0.448
0.853 0.853 0.552
0.138 0.138 0.853
0.207 0.683 0.730
0.288 0.288 0.379
0.317 0.793 0.270
0.683 0.207 0.730
0.712 0.712 0.621
0.793 0.317 0.270
0.862 0.862 0.147
```

final energy = -45.89 eV/cell
formation energy without anion corrections = -1670.1 meV per atom

***

No. 13
Computed, not measured: Dy2Tm3Hg4 after structural relaxation at the PBE-GGA level of DFT.

POSCAR file:
```
Dy2Tm3Hg4
1.0
3.447 -8.899 0.000
3.447 8.899 0.000
0.000 0.000 7.940
Dy Tm Hg
4 6 8
Direct
0.095 0.905 0.910
0.405 0.595 0.410
0.595 0.405 0.590
0.905 0.095 0.090
0.000 0.000 0.500
0.012 0.488 0.750
0.488 0.012 0.250
0.500 0.500 0.000
0.512 0.988 0.750
0.988 0.512 0.250
0.167 0.833 0.533
0.183 0.317 0.750
0.317 0.183 0.250
0.333 0.667 0.033
0.667 0.333 0.967
0.683 0.817 0.750
0.817 0.683 0.250
0.833 0.167 0.467
```

final energy = -53.61 eV/cell
energy relative to the elements = -330.8 meV/atom

***

No. 14
Computed, not measured: BaHf4Cu3O12 after structural relaxation at the PBE-GGA level of DFT.

POSCAR file:
```
BaHf4Cu3O12
1.0
-3.930 3.930 3.930
3.930 -3.930 3.930
3.930 3.930 -3.930
Ba Hf Cu O
1 4 3 12
Direct
0.000 0.000 0.000
0.000 0.000 0.500
0.000 0.500 0.000
0.500 0.000 0.000
0.500 0.500 0.500
0.000 0.500 0.500
0.500 0.000 0.500
0.500 0.500 0.000
0.136 0.826 0.311
0.174 0.311 0.485
0.174 0.689 0.864
0.311 0.136 0.826
0.311 0.485 0.174
0.485 0.174 0.311
0.515 0.826 0.689
0.689 0.515 0.826
0.689 0.864 0.174
0.826 0.311 0.136
0.826 0.689 0.515
0.864 0.174 0.689
```

final energy = -163.76 eV/cell
formation energy without anion corrections = -2511.8 meV per atom

***

No. 15
Computed, not measured: YPaCuO6 after structural relaxation at the PBE-GGA level of DFT.

POSCAR file:
```
YPaCuO6
1.0
5.313 0.000 0.000
-2.657 4.602 0.000
0.000 0.000 4.880
Y Pa Cu O
1 1 1 6
Direct
0.000 0.000 0.000
0.667 0.333 0.500
0.333 0.667 0.000
0.014 0.371 0.238
0.014 0.644 0.762
0.356 0.371 0.762
0.356 0.986 0.238
0.629 0.644 0.238
0.629 0.986 0.762
```

final energy = -70.45 eV/cell
formation energy without anion corrections = -2294.1 meV per atom

***

No. 16
Computed, not measured: CsK2AsF6 after structural relaxation at the PBE-GGA level of DFT.

POSCAR file:
```
CsK2AsF6
1.0
0.000 4.837 4.837
4.837 0.000 4.837
4.837 4.837 0.000
Cs K As F
1 2 1 6
Direct
0.000 0.000 0.000
0.250 0.250 0.250
0.750 0.750 0.750
0.500 0.500 0.500
0.286 0.286 0.714
0.286 0.714 0.286
0.286 0.714 0.714
0.714 0.286 0.286
0.714 0.286 0.714
0.714 0.714 0.286
```

final energy = -43.23 eV/cell
formation energy without anion corrections = -2430.2 meV per atom

***

No. 17
Computed, not measured: KNb2Zn4 after structural relaxation at the PBE-GGA level of DFT.

POSCAR file:
```
KNb2Zn4
1.0
5.260 0.000 0.000
0.000 5.260 0.000
0.000 0.000 14.095
K Nb Zn
2 4 8
Direct
0.000 0.000 0.000
0.500 0.500 0.500
0.000 0.000 0.417
0.000 0.000 0.583
0.500 0.500 0.083
0.500 0.500 0.917
0.000 0.000 0.220
0.000 0.000 0.780
0.000 0.500 0.000
0.000 0.500 0.500
0.500 0.000 0.000
0.500 0.000 0.500
0.500 0.500 0.280
0.500 0.500 0.720
```

final energy = -38.08 eV/cell
energy relative to the elements = 1041.7 meV/atom

***

No. 18
Computed, not measured: NdGaNO after structural relaxation at the PBE-GGA level of DFT.

POSCAR file:
```
NdGaNO
1.0
3.404 0.000 0.000
-1.702 2.948 0.000
0.000 0.000 11.595
Nd Ga N O
2 2 2 2
Direct
0.333 0.667 0.000
0.667 0.333 0.500
0.000 0.000 0.282
0.000 0.000 0.782
0.333 0.667 0.339
0.667 0.333 0.839
0.000 0.000 0.120
0.000 0.000 0.620
```

final energy = -52.86 eV/cell
formation energy without anion corrections = -1338.2 meV per atom

***

No. 19
Computed, not measured: Nb2ReSi2 after structural relaxation at the PBE-GGA level of DFT.

POSCAR file:
```
Nb2ReSi2
1.0
6.517 0.000 0.000
0.000 6.517 0.000
0.000 0.000 3.583
Nb Re Si
4 2 4
Direct
0.168 0.332 0.000
0.332 0.832 0.000
0.668 0.168 0.000
0.832 0.668 0.000
0.000 0.000 0.500
0.500 0.500 0.500
0.132 0.632 0.500
0.368 0.132 0.500
0.632 0.868 0.500
0.868 0.368 0.500
```

final energy = -91.90 eV/cell
formation energy without anion corrections = -503.3 meV per atom

***

No. 20
Computed, not measured: Na2LiBi after structural relaxation at the PBE-GGA level of DFT.

POSCAR file:
```
Na2LiBi
1.0
4.577 0.000 0.000
0.000 4.577 0.000
0.000 0.000 5.069
Na Li Bi
2 1 1
Direct
0.000 0.500 0.000
0.500 0.000 0.000
0.000 0.000 0.500
0.500 0.500 0.500
```

final energy = -9.42 eV/cell
energy relative to the elements = -246.3 meV/atom